Entry 1
Li2GeAu5 | PBE | relaxed

Cell: 4.655 11.672 10.638 Å, 90.00 90.00 90.00°
Space group Cmcm (No. 63)
Symmetry-distinct sites (fractional):
Li: 0.000 0.208 0.075
Ge: 0.000 0.254 0.750
Au: 0.000 0.050 0.616
Au: 0.000 0.364 0.250
Au: 0.000 0.403 0.575

Output
Crystal system: orthorhombic

Entry 2
Li2GeAu5 | PBE | relaxed

Cell: 5.588 11.243 4.282 Å, 90.00 90.00 90.00°
Space group Pbam (No. 55)
Symmetry-distinct sites (fractional):
Li: 0.203 0.136 0.000
Ge: 0.000 0.500 0.500
Au: 0.000 0.000 0.500
Au: 0.048 0.745 0.500
Au: 0.210 0.386 0.000

Output
Crystal system: orthorhombic

Energy comparison, zero being the most stable, in meV/atom: entry 1 65; entry 2 0.